## CsYCd (PBE)

Data for a relaxed structure of CsYCd.

The space group is F-43m (No. 216) and the conventional cell measures 7.9078, 7.9078 and 7.9078 Å, with angles of 90.00, 90.00 and 90.00 degrees. The asymmetric unit holds Cs at (0.0000, 0.0000, 0.0000), Y at (0.2500, 0.2500, 0.2500) and Cd at (0.2500, 0.2500, 0.7500).

The crystal system is cubic. As for the total energy: -5.19 eV/f.u. For the magnetic moment, the calculation gives 0.02 μB/f.u.